Compound: Ca8Sn2Ge
Source: Alexandria via LeMat-Bulk
Functional: GGA-PBE
Structure: relaxed

Lattice parameters (Å, degrees): 5.2846 7.2603 10.0220 105.86 105.29 90.00
Sites, in units of the cell vectors:
Ge (0.5000, 0.0000, 0.0000)
Ca (0.2099, 0.2962, 0.4198)
Ca (0.9750, 0.2107, 0.9501)
Ca (0.6530, 0.9544, 0.3061)
Ca (0.5941, 0.4307, 0.1881)
Ca (0.4059, 0.5693, 0.8119)
Ca (0.0250, 0.7893, 0.0499)
Ca (0.7901, 0.7038, 0.5802)
Ca (0.3470, 0.0457, 0.6939)
Sn (0.1863, 0.7166, 0.3726)
Sn (0.8137, 0.2834, 0.6274)

Values from the calculation:
Calculated volume, Å³ per cell: 356
E, eV/atom: -3.050
DOS at the Fermi energy, states/eV/atom: 0.807
Crystal system: monoclinic
Formation energy, eV per atom: -0.447

=====

Compound: CaSnGe3
Source: Alexandria via LeMat-Bulk
Functional: GGA-PBE
Structure: relaxed

Lattice parameters (Å, degrees): 5.3042 5.3042 5.3042 90.00 90.00 90.00
Sites, in units of the cell vectors:
Ge (0.5000, 0.0000, 0.0000)
Ge (0.0000, 0.5000, 0.0000)
Ge (0.0000, 0.0000, 0.5000)
Ca (0.5000, 0.5000, 0.5000)
Sn (0.0000, 0.0000, 0.0000)

Values from the calculation:
Calculated volume, Å³ per cell: 149
E, eV/atom: -3.525
DOS at the Fermi energy, states/eV/atom: 0.708
Crystal system: cubic
Offset from the most stable computed form, meV/atom: 0
Formation energy, eV per atom: 0.446

=====

Compound: CaSnGe
Source: Alexandria via LeMat-Bulk
Functional: GGA-PBE
Structure: relaxed

Lattice parameters (Å, degrees): 5.1523 4.2815 4.2815 120.00 90.00 90.00
Sites, in units of the cell vectors:
Ge (0.3010, 0.3333, 0.6667)
Ca (0.6337, 0.6667, 0.3333)
Sn (0.0653, 0.0000, 0.0000)

Values from the calculation:
Calculated volume, Å³ per cell: 82
E, eV/atom: -3.985
DOS at the Fermi energy, states/eV/atom: 0.130
Crystal system: trigonal
Formation energy, eV per atom: -0.444

=====

Compound: Ca3SnGe3
Source: Alexandria via LeMat-Bulk
Functional: GGA-PBE
Structure: relaxed

Lattice parameters (Å, degrees): 4.5182 5.9081 14.3038 90.00 90.00 112.48
Sites, in units of the cell vectors:
Ge (0.9067, 0.8134, 0.6082)
Ge (0.0933, 0.1866, 0.1082)
Ge (0.9067, 0.8134, 0.8918)
Ge (0.7660, 0.5320, 0.7500)
Ge (0.0933, 0.1866, 0.3918)
Ge (0.2340, 0.4680, 0.2500)
Ca (0.8011, 0.6023, 0.4007)
Ca (0.1989, 0.3977, 0.9007)
Ca (0.5156, 0.0312, 0.2500)
Ca (0.4844, 0.9688, 0.7500)
Ca (0.8011, 0.6023, 0.0993)
Ca (0.1989, 0.3977, 0.5993)
Sn (0.5000, 0.0000, 0.0000)
Sn (0.5000, 0.0000, 0.5000)

Values from the calculation:
Calculated volume, Å³ per cell: 353
E, eV/atom: -3.971
DOS at the Fermi energy, states/eV/atom: 0.436
Crystal system: orthorhombic
Formation energy, eV per atom: -0.563

=====

Compound: Ca7Sn2Ge2
Source: Alexandria via LeMat-Bulk
Functional: GGA-PBE
Structure: relaxed

Lattice parameters (Å, degrees): 6.8844 8.0115 6.8844 90.00 109.97 90.00
Sites, in units of the cell vectors:
Ca (0.9998, 0.2929, 0.5003)
Ca (0.4998, 0.2683, 0.5002)
Ca (0.0000, 0.0000, 0.0000)
Ca (0.5002, 0.7317, 0.4998)
Ca (0.0002, 0.7071, 0.4997)
Ca (0.5003, 0.7071, 0.9998)
Ca (0.4997, 0.2929, 0.0002)
Ge (0.8221, 0.5000, 0.8221)
Ge (0.1779, 0.5000, 0.1779)
Sn (0.7108, 0.0000, 0.2892)
Sn (0.2892, 0.0000, 0.7108)

Values from the calculation:
Calculated volume, Å³ per cell: 357
E, eV/atom: -3.201
DOS at the Fermi energy, states/eV/atom: 0.513
Crystal system: orthorhombic
Formation energy, eV per atom: -0.360

=====

Compound: CaSn3Ge
Source: Alexandria via LeMat-Bulk
Functional: GGA-PBE
Structure: relaxed

Lattice parameters (Å, degrees): 5.6971 5.6971 5.6971 90.00 90.00 90.00
Sites, in units of the cell vectors:
Sn (0.0000, 0.5000, 0.0000)
Sn (0.0000, 0.0000, 0.5000)
Sn (0.5000, 0.0000, 0.0000)
Ca (0.0000, 0.0000, 0.0000)
Ge (0.5000, 0.5000, 0.5000)

Values from the calculation:
Calculated volume, Å³ per cell: 185
E, eV/atom: -2.847
DOS at the Fermi energy, states/eV/atom: 1.487
Crystal system: cubic
Offset from the most stable computed form, meV/atom: 709
Formation energy, eV per atom: 0.878